SrIn2Pt, relaxed, DFT PBE; crystal system = trigonal; formation energy from the elements = -0.504 eV/atom
1.0
2.297 1.326 5.948
-2.297 1.326 5.948
0.000 -2.652 5.948
Sr In Pt
1 2 1
Cartesian
0.000 0.000 0.000
0.000 0.000 3.829
0.000 0.000 14.016
0.000 0.000 8.922

***

Er2AgHg3, relaxed, DFT PBE; crystal system = orthorhombic; formation energy from the elements = -0.353 eV/atom
1.0
0.000 4.871 8.483
3.385 0.000 8.483
3.385 4.871 0.000
Er Ag Hg
4 2 6
Cartesian
5.086 4.871 8.483
1.693 2.435 4.241
5.078 7.306 12.724
1.685 4.871 8.483
3.385 4.871 2.839
3.385 4.871 14.126
3.385 2.395 7.051
3.385 2.395 9.914
3.385 4.871 5.620
3.385 4.871 11.345
3.385 7.346 7.051
3.385 7.346 9.914

***

PrFeSi2Os, relaxed, DFT PBE; crystal system = tetragonal; calculated total energy = -38.5 eV/cell
1.0
-2.058 2.058 4.993
2.058 -2.058 4.993
2.058 2.058 -4.993
Pr Fe Si Os
1 1 2 1
Cartesian
0.000 0.000 0.000
0.000 2.058 2.496
0.000 0.000 3.648
0.000 0.000 6.338
2.058 0.000 2.496

***

BrClO2, relaxed, DFT PBE; crystal system = trigonal; E above lowest polymorph = 739 meV per atom
1.0
1.807 1.043 5.771
-1.807 1.043 5.771
0.000 -2.086 5.771
Br Cl O
1 1 2
Cartesian
0.000 0.000 0.000
0.000 0.000 8.657
0.000 0.000 1.967
0.000 0.000 15.346

***

PmPaGeTe, relaxed, DFT PBE; crystal system = cubic; calculated total energy = -24.5 eV/cell
1.0
0.000 3.702 3.702
3.702 0.000 3.702
3.702 3.702 0.000
Pm Pa Ge Te
1 1 1 1
Cartesian
0.000 0.000 0.000
3.702 3.702 3.702
5.552 5.552 5.552
1.851 1.851 1.851

***

Na2CuSnBr5, relaxed, DFT PBE; crystal system = orthorhombic; calculated total energy = -55.6 eV/cell
1.0
2.084 -9.489 0.000
2.084 9.489 0.000
0.000 0.000 13.405
Na Cu Sn Br
4 2 2 10
Cartesian
2.084 7.754 6.703
2.084 7.712 2.558
2.084 -7.712 9.260
2.084 -7.754 0.000
2.084 1.256 3.397
2.084 -1.256 10.099
2.084 5.735 11.521
2.084 -5.735 4.819
2.084 8.866 11.308
2.084 3.859 6.880
2.084 3.581 2.585
2.084 2.774 11.346
2.084 0.056 7.971
2.084 -0.056 1.268
2.084 -2.774 4.644
2.084 -3.581 9.287
2.084 -3.859 0.177
2.084 -8.866 4.605

***

ZnFe2, relaxed, DFT PBE; crystal system = cubic; formation energy from the elements = 0.822 eV/atom
1.0
5.649 0.000 0.000
0.000 5.649 0.000
0.000 0.000 5.649
Zn Fe
4 8
Cartesian
0.000 0.000 0.000
0.000 2.824 2.824
2.824 0.000 2.824
2.824 2.824 0.000
0.677 3.501 4.972
0.677 4.972 2.148
2.148 0.677 4.972
2.148 2.148 2.148
3.501 3.501 3.501
3.501 4.972 0.677
4.972 0.677 3.501
4.972 2.148 0.677

***

In2GaPb5, relaxed, DFT PBE; crystal system = tetragonal; formation energy from the elements = 0.064 eV/atom
1.0
-4.084 4.084 3.518
4.084 -4.084 3.518
4.084 4.084 -3.518
In Ga Pb
2 1 5
Cartesian
4.084 0.000 0.000
0.000 4.084 0.000
0.000 0.000 0.003
2.040 2.040 5.278
-2.040 2.040 5.278
0.000 0.000 3.514
2.040 -2.040 5.278
2.044 2.044 1.760

***

La2TiSiAu, relaxed, DFT PBE; crystal system = tetragonal; calculated total energy = -25.9 eV/cell
1.0
5.440 0.000 0.000
0.000 5.440 0.000
0.000 0.000 4.728
La Ti Si Au
2 1 1 1
Cartesian
0.000 2.720 0.000
2.720 0.000 0.000
0.000 0.000 0.000
0.000 0.000 2.364
2.720 2.720 2.364

***

KBaCuAu, relaxed, DFT PBE; crystal system = cubic; formation energy from the elements = -0.119 eV/atom
1.0
0.000 3.984 3.984
3.984 0.000 3.984
3.984 3.984 0.000
K Ba Cu Au
1 1 1 1
Cartesian
0.000 0.000 0.000
3.984 3.984 3.984
5.976 5.976 5.976
1.992 1.992 1.992

***

Er3SbN, relaxed, DFT PBE; crystal system = monoclinic; calculated total energy = -62.6 eV/cell
1.0
7.624 0.000 0.000
0.000 3.757 0.000
-2.438 0.000 8.042
Er Sb N
6 2 2
Cartesian
-0.569 0.939 2.827
-0.025 0.939 7.497
1.328 2.818 5.049
3.858 0.939 2.992
5.211 2.818 0.545
5.755 2.818 5.215
1.668 2.818 1.889
3.518 0.939 6.153
-0.250 0.939 5.129
5.436 2.818 2.913

***

Zn2AsSe, relaxed, DFT PBE; crystal system = trigonal; calculated total energy = -9.9 eV/cell
1.0
1.560 0.900 9.852
-1.560 0.900 9.852
0.000 -1.801 9.852
Zn As Se
2 1 1
Cartesian
0.000 0.000 0.000
0.000 0.000 7.807
0.000 0.000 15.694
0.000 0.000 21.626

***

H3AuO, relaxed, DFT PBE; crystal system = cubic; E above lowest polymorph = 128 meV per atom
1.0
3.342 0.000 0.000
0.000 3.342 0.000
0.000 0.000 3.342
H Au O
3 1 1
Cartesian
0.000 0.000 1.671
0.000 1.671 0.000
1.671 0.000 0.000
1.671 1.671 1.671
0.000 0.000 0.000

***

Nb2RuPt, relaxed, DFT PBE; crystal system = tetragonal; formation energy from the elements = -0.427 eV/atom
1.0
4.077 0.000 0.000
0.000 4.077 0.000
0.000 0.000 3.911
Nb Ru Pt
2 1 1
Cartesian
0.000 2.039 0.000
2.039 0.000 0.000
0.000 0.000 1.956
2.039 2.039 1.956

***

Si3Au10, relaxed, DFT PBE; crystal system = cubic; calculated total energy = -96.8 eV/cell
1.0
-4.877 4.877 4.877
4.877 -4.877 4.877
4.877 4.877 -4.877
Si Au
6 20
Cartesian
2.933 0.000 0.000
6.821 0.000 0.000
0.000 2.933 0.000
0.000 0.000 2.933
0.000 6.821 0.000
0.000 0.000 6.821
1.579 1.579 -1.579
3.365 3.365 -3.365
4.508 1.418 -1.418
1.579 -1.579 1.579
4.508 -1.418 1.418
3.365 -3.365 3.365
5.246 1.418 1.418
1.512 1.512 1.512
1.418 4.508 -1.418
1.418 -1.418 4.508
-1.579 1.579 1.579
3.459 3.459 0.369
3.459 0.369 3.459
-1.418 4.508 1.418
-1.418 1.418 4.508
3.298 3.298 3.298
1.418 5.246 1.418
1.418 1.418 5.246
-3.365 3.365 3.365
0.369 3.459 3.459

***

Cs2BeHO2, relaxed, DFT PBE; crystal system = orthorhombic; calculated total energy = -51.8 eV/cell
1.0
-4.781 7.604 2.169
4.781 -7.604 2.169
4.781 7.604 -2.169
Cs Be H O
4 2 2 4
Cartesian
2.378 1.839 0.000
2.378 -1.839 2.169
2.403 9.443 0.000
2.403 5.765 2.169
0.000 0.000 1.085
0.000 0.000 3.254
4.781 0.000 1.085
0.000 7.604 1.085
8.671 0.870 0.000
3.890 6.734 0.000
0.891 0.870 2.169
-3.890 6.734 2.169

***

Ce2PaSiN5, relaxed, DFT PBE; crystal system = tetragonal; calculated total energy = -156.0 eV/cell
1.0
6.410 0.000 0.000
0.000 6.410 0.000
0.000 0.000 5.707
Ce Pa Si N
4 2 2 10
Cartesian
1.088 2.117 0.000
2.117 5.322 0.000
4.293 1.088 0.000
5.322 4.293 0.000
0.000 0.000 2.853
3.205 3.205 2.853
0.000 3.205 2.853
3.205 0.000 2.853
0.000 0.000 0.000
0.939 4.144 1.620
0.939 4.144 4.087
2.266 0.939 1.620
2.266 0.939 4.087
3.205 3.205 0.000
4.144 5.471 1.620
4.144 5.471 4.087
5.471 2.266 1.620
5.471 2.266 4.087

***

NpPaSnOs, relaxed, DFT PBE; crystal system = cubic; formation energy from the elements = 0.109 eV/atom
1.0
0.000 3.479 3.479
3.479 0.000 3.479
3.479 3.479 0.000
Np Pa Sn Os
1 1 1 1
Cartesian
0.000 0.000 0.000
5.219 5.219 5.219
1.740 1.740 1.740
3.479 3.479 3.479

***

Cs3Tl2Ag2, relaxed, DFT PBE; crystal system = orthorhombic; formation energy from the elements = 0.005 eV/atom
1.0
7.522 0.000 0.000
0.000 10.152 0.000
0.000 0.000 16.347
Cs Tl Ag
12 8 8
Cartesian
0.732 1.390 1.784
0.732 1.390 6.389
0.732 3.686 9.957
0.732 3.686 14.563
2.686 7.349 12.260
2.686 7.879 4.087
4.836 2.273 12.260
4.836 2.803 4.087
6.790 6.466 1.784
6.790 6.466 6.389
6.790 8.762 9.957
6.790 8.762 14.563
3.014 0.137 9.556
3.014 0.137 14.964
3.014 4.939 1.383
3.014 4.939 6.791
4.508 5.213 9.556
4.508 5.213 14.964
4.508 10.015 1.383
4.508 10.015 6.791
1.608 0.679 12.260
1.608 4.397 4.087
3.266 7.614 0.000
3.266 7.614 8.173
4.256 2.538 0.000
4.256 2.538 8.173
5.913 5.755 12.260
5.913 9.473 4.087

***

LiSn2P2Pt7, relaxed, DFT PBE; crystal system = monoclinic; formation energy from the elements = -0.502 eV/atom
1.0
2.732 -2.732 0.000
2.732 2.732 0.000
-2.702 0.000 14.827
Li Sn P Pt
1 2 2 7
Cartesian
0.000 0.000 0.000
0.009 0.000 6.292
2.753 0.000 8.535
0.035 0.000 11.430
2.727 0.000 3.397
1.359 1.366 2.063
0.018 0.000 9.106
1.403 1.366 12.763
2.732 0.000 0.000
1.359 -1.366 2.063
2.744 0.000 5.721
1.403 -1.366 12.763

***

Al2CdMo, relaxed, DFT PBE; crystal system = tetragonal; formation energy from the elements = -0.042 eV/atom
1.0
-1.915 1.915 4.479
1.915 -1.915 4.479
1.915 1.915 -4.479
Al Cd Mo
2 1 1
Cartesian
0.000 0.000 0.000
0.000 1.915 2.240
0.000 0.000 4.479
1.915 0.000 2.240

***

BeRe2HgTe, relaxed, DFT PBE; crystal system = tetragonal; calculated total energy = -21.7 eV/cell
1.0
4.948 0.000 0.000
0.000 4.948 0.000
0.000 0.000 4.389
Be Re Hg Te
1 2 1 1
Cartesian
0.000 0.000 0.000
0.000 2.474 2.195
2.474 0.000 2.195
2.474 2.474 0.000
0.000 0.000 2.195

***

PaGaB, relaxed, DFT PBE; crystal system = tetragonal; formation energy from the elements = 0.363 eV/atom; E above lowest polymorph = 720 meV per atom
1.0
-1.519 1.519 5.317
1.519 -1.519 5.317
1.519 1.519 -5.317
Pa Ga B
1 1 1
Cartesian
0.000 0.000 0.000
0.000 0.000 2.957
0.000 0.000 7.019

***

no.,Fermi-level density of states (states/eV/cell)
1,3.87
2,8.21
3,3.87
4,1.82
5,5.44
6,0.00
7,6.66
8,3.76
9,5.83
10,2.82
11,6.35
12,4.16
13,0.82
14,4.86
15,7.45
16,4.51
17,15.54
18,7.36
19,13.73
20,3.75
21,0.86
22,3.18
23,3.67